# 1
Entry from the Alexandria database: a relaxed Y3Ho4Tm crystal (PBE-GGA).

Cell: 11.1967 7.2447 6.2616 Å, 90.00 90.00 90.00°
With the nearest neighbours (Å) after each atom.
Space group Pmn2_1 (No. 31)
One atom of each set of equivalent atoms:
Y1 0.0000 0.1259 0.0000  4 Y 3.50, 6 Ho 3.50-3.65, 2 Tm 3.62-3.63
Y2 0.2495 0.1258 0.3361  2 Tm 3.49-3.50, 6 Ho 3.50-3.63, 4 Y 3.50-3.62
Ho1 0.0000 0.3767 0.5046  6 Ho 3.48-3.62, 4 Y 3.50-3.65, 2 Tm 3.60-3.64
Ho2 0.0000 0.6242 0.0031  6 Ho 3.48-3.62, 4 Y 3.50-3.63, 2 Tm 3.60-3.63
Ho3 0.2488 0.6242 0.3351  6 Ho 3.48-3.61, 1 Tm 3.48, 5 Y 3.50-3.63
Tm1 0.0000 0.8736 0.5008  6 Ho 3.48-3.64, 6 Y 3.49-3.63

---

# 2
Entry from the Alexandria database: a relaxed Y3Ho6Tm crystal (PBE-GGA).

Cell: 9.3205 15.4020 8.8538 Å, 90.00 90.00 90.00°
With the nearest neighbours (Å) after each atom.
Space group Cmc2_1 (No. 36)
One atom of each set of equivalent atoms:
Y1 0.0000 0.0502 0.0000  7 Ho 3.33-3.66, 2 Y 3.38, 1 Tm 3.71
Y2 0.1762 0.3508 0.4883  5 Ho 3.27-3.60, 2 Y 3.28-3.38
Ho1 0.0000 0.2183 0.2437  3 Y 3.37-3.40, 1 Tm 3.38, 3 Ho 3.48-3.67
Ho2 0.0000 0.4467 0.1257  7 Ho 3.31-3.67, 1 Tm 3.38
Ho3 0.1759 0.1466 0.6385  4 Ho 3.26-3.59, 1 Tm 3.37, 2 Y 3.39-3.42
Ho4 0.2457 0.4419 0.8140  5 Ho 3.26-3.59, 3 Y 3.27-3.60, 1 Tm 3.43
Tm1 0.0000 0.2802 0.8770  6 Ho 3.37-3.43, 3 Y 3.71-3.76

---

# 3
Entry from the Alexandria database: a relaxed Y2HoTm5 crystal (PBE-GGA).

Cell: 6.2116 6.6236 12.1224 Å, 84.59 90.00 89.99°
With the nearest neighbours (Å) after each atom.
Space group P-1 (No. 2)
One atom of each set of equivalent atoms:
Y1 0.1654 0.1900 0.4362  5 Y 3.47-3.60, 4 Tm 3.48-3.62, 3 Ho 3.53-3.60
Y2 0.3342 0.6888 0.4360  5 Y 3.47-3.60, 2 Ho 3.48-3.62, 5 Tm 3.48-3.60
Ho1 0.3331 0.9347 0.6907  7 Tm 3.44-3.59, 5 Y 3.48-3.62
Tm1 0.1654 0.6871 0.9384  11 Tm 3.43-3.58, 1 Ho 3.44
Tm2 0.1660 0.9384 0.1848  8 Tm 3.44-3.58, 2 Y 3.48-3.61, 2 Ho 3.58-3.59
Tm3 0.1667 0.4352 0.6912  5 Tm 3.44-3.59, 2 Ho 3.47, 5 Y 3.48-3.62
Tm4 0.3342 0.1871 0.9381  11 Tm 3.44-3.58, 1 Ho 3.57
Tm5 0.3340 0.4387 0.1845  9 Tm 3.43-3.59, 1 Ho 3.46, 2 Y 3.49-3.60

---

# 4
Entry from the Alexandria database: a relaxed YHo7Tm4 crystal (PBE-GGA).

Cell: 6.4309 6.7518 8.9346 Å, 86.00 76.61 81.86°
With the nearest neighbours (Å) after each atom.
Space group P-1 (No. 2)
One atom of each set of equivalent atoms:
Y1 0.0000 0.0000 0.0000  2 Tm 3.37, 4 Ho 3.38-3.45
Ho1 0.0000 0.5000 0.0000  2 Y 3.38, 4 Tm 3.38-3.57, 4 Ho 3.43-3.66
Ho2 0.1916 0.1037 0.3871  5 Ho 3.22-3.54, 5 Tm 3.27-3.56
Ho3 0.3147 0.7047 0.6426  5 Ho 3.34-3.66, 4 Tm 3.42-3.49
Ho4 0.4838 0.2507 0.0505  5 Ho 3.33-3.53, 3 Tm 3.35-3.66, 1 Y 3.45
Tm1 0.1622 0.6119 0.3143  7 Ho 3.38-3.66, 2 Tm 3.46-3.47
Tm2 0.3585 0.1975 0.7129  7 Ho 3.27-3.57, 1 Y 3.37, 2 Tm 3.46-3.47

---

# 5
Entry from the Alexandria database: a relaxed YHo5Tm8 crystal (PBE-GGA).

Cell: 9.4481 9.4481 9.9570 Å, 90.00 90.00 90.00°
With the nearest neighbours (Å) after each atom.
Space group I-4 (No. 82)
One atom of each set of equivalent atoms:
Y1 0.0000 0.0000 0.0000  4 Tm 3.23
Ho1 0.0000 0.5000 0.2500  8 Tm 3.07-3.27
Ho2 0.1127 0.7116 0.6735  8 Tm 3.30-3.47, 2 Ho 3.55
Tm1 0.0710 0.8241 0.3450  5 Ho 3.27-3.46, 3 Tm 3.53-3.59
Tm2 0.0902 0.6706 0.0017  4 Ho 3.07-3.40, 1 Y 3.23

---

# 6
Entry from the Alexandria database: a relaxed Y5HoTm4 crystal (PBE-GGA).

Cell: 10.1383 10.1383 6.2823 Å, 90.00 90.00 90.00°
With the nearest neighbours (Å) after each atom.
Space group I4 (No. 79)
One atom of each set of equivalent atoms:
Y1 0.0000 0.0000 0.0000  1 Ho 2.87
Y2 0.1452 0.2346 0.7249  4 Tm 3.20-3.49, 1 Ho 3.26, 1 Y 3.29
Ho1 0.0000 0.0000 0.4569  1 Y 2.87
Tm1 0.0498 0.3488 0.2263  4 Y 3.20-3.49, 1 Tm 3.23

---

# 7
Entry from the Alexandria database: a relaxed Y6HoTm4 crystal (PBE-GGA).

Cell: 6.5066 6.5066 17.1122 Å, 90.00 90.00 90.00°
With the nearest neighbours (Å) after each atom.
Space group I-42m (No. 121)
One atom of each set of equivalent atoms:
Y1 0.0000 0.5000 0.0000  2 Ho 3.25, 4 Tm 3.28
Y2 0.1868 0.1868 0.1743  5 Tm 3.33-3.49, 1 Y 3.44, 1 Ho 3.44
Ho1 0.0000 0.0000 0.0000  8 Y 3.25-3.44
Tm1 0.1798 0.1798 0.3686  7 Y 3.28-3.49, 1 Tm 3.31

---

# 8
Entry from the Alexandria database: a relaxed Y2HoTm crystal (PBE-GGA).

Cell: 3.5705 3.5705 34.1860 Å, 90.00 90.00 120.00°
With the nearest neighbours (Å) after each atom.
Space group R3m (No. 160, hexagonal axes)
One atom of each set of equivalent atoms:
Y1 0.0000 0.0000 0.0000  3 Ho 3.50, 3 Tm 3.51, 6 Y 3.57
Y2 0.0000 0.0000 0.1665  3 Tm 3.52, 3 Ho 3.53, 6 Y 3.57
Ho1 0.0000 0.0000 0.7495  6 Y 3.50-3.53, 6 Ho 3.57
Tm1 0.0000 0.0000 0.5835  6 Y 3.51-3.52, 6 Tm 3.57

---

# 9
Entry from the Alexandria database: a relaxed Y4HoTm10 crystal (PBE-GGA).

Cell: 12.0585 12.0585 7.6182 Å, 90.00 90.00 90.00°
With the nearest neighbours (Å) after each atom.
Space group I4/m (No. 87)
One atom of each set of equivalent atoms:
Y1 0.1006 0.2992 0.0000  8 Tm 3.30-3.31
Ho1 0.0000 0.0000 0.5000  8 Tm 3.28
Tm1 0.0000 0.5000 0.2500  4 Y 3.31
Tm2 0.0989 0.8008 0.2514  1 Ho 3.28, 3 Y 3.30-3.31

---

# 10
Entry from the Alexandria database: a relaxed Y4HoTm3 crystal (PBE-GGA).

Cell: 11.1824 7.2374 6.2502 Å, 90.00 90.00 90.00°
With the nearest neighbours (Å) after each atom.
Space group Pmn2_1 (No. 31)
One atom of each set of equivalent atoms:
Y1 0.0000 0.1272 0.0000  4 Tm 3.49-3.63, 6 Y 3.50-3.64, 2 Ho 3.59-3.65
Y2 0.0000 0.8724 0.5015  4 Tm 3.49-3.66, 6 Y 3.50-3.64, 2 Ho 3.59-3.63
Y3 0.2493 0.1272 0.3378  5 Tm 3.48-3.65, 1 Ho 3.50, 6 Y 3.50-3.63
Ho1 0.0000 0.6227 0.0046  6 Tm 3.48-3.60, 6 Y 3.50-3.65
Tm1 0.0000 0.3776 0.5040  4 Tm 3.48, 6 Y 3.48-3.66, 2 Ho 3.59-3.60
Tm2 0.2498 0.3774 0.8348  4 Tm 3.48-3.59, 2 Ho 3.48, 6 Y 3.49-3.65

---

# 11
Entry from the Alexandria database: a relaxed YHo4Tm crystal (PBE-GGA).

Cell: 3.5280 6.0999 9.3215 Å, 77.48 79.14 73.28°
With the nearest neighbours (Å) after each atom.
Space group P-1 (No. 2)
One atom of each set of equivalent atoms:
Y1 0.0000 0.0000 0.0000  10 Ho 3.52-3.54, 2 Y 3.53
Ho1 0.3333 0.5021 0.8318  2 Tm 3.51-3.52, 3 Y 3.52-3.54, 7 Ho 3.52-3.55
Ho2 0.3331 0.9984 0.3350  7 Ho 3.50-3.53, 3 Tm 3.51-3.52, 2 Y 3.54
Tm1 0.0000 0.5000 0.5000  10 Ho 3.51-3.52, 2 Tm 3.53

---

# 12
Entry from the Alexandria database: a relaxed Y4Ho5Tm crystal (PBE-GGA).

Cell: 3.5483 6.7455 13.8627 Å, 82.70 89.82 75.11°
With the nearest neighbours (Å) after each atom.
Space group P-1 (No. 2)
One atom of each set of equivalent atoms:
Y1 0.1165 0.2993 0.3073  1 Tm 3.23, 4 Ho 3.44-3.57, 4 Y 3.44-3.55
Y2 0.1872 0.1700 0.7106  1 Tm 3.40, 5 Y 3.44-3.63, 5 Ho 3.52-3.78
Ho1 0.1832 0.1259 0.0837  3 Y 3.44-3.70, 9 Ho 3.48-3.60
Ho2 0.4602 0.5828 0.1142  8 Ho 3.48-3.60, 4 Y 3.49-3.60
Ho3 0.5000 0.5000 0.5000  2 Tm 3.38, 2 Ho 3.55, 6 Y 3.57-3.78
Tm1 0.0000 0.0000 0.5000  4 Y 3.23-3.40, 2 Ho 3.38, 2 Tm 3.55

---

| no. | formation energy from the elements (eV/atom) |
| --- | --- |
| 1 | 0.001 |
| 2 | 0.133 |
| 3 | -0.001 |
| 4 | 0.091 |
| 5 | 0.253 |
| 6 | 0.316 |
| 7 | 0.302 |
| 8 | 0.014 |
| 9 | 0.758 |
| 10 | 0.000 |
| 11 | 0.021 |
| 12 | 0.056 |